Record 1
ScPtAu2 at its PBEsol-relaxed geometry, computed with meta-GGA SCAN.

Results
* Fermi-level density of states: 0.341 states/eV/atom
* crystal system: tetragonal
* E_form: -0.876 eV per atom
* final energy: -56.56 eV/atom

a b c (Å): 3.938 3.938 5.112
angles (deg): 112.65 112.65 90.00
Element x y z (fractional)
Sc (0.500, 0.500, 0.000)
Au (0.750, 0.250, 0.500)
Au (0.250, 0.750, 0.500)
Pt (0.000, 0.000, 0.000)

***

Record 2
LaP2Br at its PBEsol-relaxed geometry, computed with meta-GGA SCAN.

Results
* E_form (uncorrected): -972 meV/atom
* Fermi-level density of states: 0.325 states/eV/atom
* crystal system: trigonal
* final energy: -21.81 eV/atom
* offset from the most stable computed form: 0.000 eV per atom

a b c (Å): 4.822 4.822 4.822
angles (deg): 67.71 67.71 67.71
Element x y z (fractional)
Br (0.507, 0.507, 0.507)
La (0.229, 0.229, 0.229)
P (0.974, 0.974, 0.974)
P (0.790, 0.790, 0.790)

***

Record 3
CdTeMo3 at its PBEsol-relaxed geometry, computed with meta-GGA SCAN.

Results
* E_form (uncorrected): 2424 meV/atom
* Fermi-level density of states: 0.790 states/eV/atom
* crystal system: cubic
* final energy: -32.04 eV/atom

a b c (Å): 4.847 4.847 4.847
angles (deg): 90.00 90.00 90.00
Element x y z (fractional)
Mo (0.000, 0.500, 0.000)
Mo (0.000, 0.000, 0.500)
Mo (0.500, 0.000, 0.000)
Te (0.500, 0.500, 0.500)
Cd (0.000, 0.000, 0.000)

***

Record 4
Li2Cr2Sb at its PBEsol-relaxed geometry, computed with meta-GGA SCAN.

Results
* E_form (uncorrected): 641 meV/atom
* Fermi-level density of states: 0.382 states/eV/atom
* crystal system: tetragonal
* final energy: -15.12 eV/atom

a b c (Å): 3.666 3.666 6.892
angles (deg): 105.42 105.42 90.00
Element x y z (fractional)
Sb (0.000, 0.000, 0.000)
Li (0.250, 0.750, 0.500)
Li (0.750, 0.250, 0.500)
Cr (0.424, 0.424, 0.848)
Cr (0.576, 0.576, 0.152)

***

Record 5
LiAlCoP2 at its PBEsol-relaxed geometry, computed with meta-GGA SCAN.

Results
* Fermi-level density of states: 0.560 states/eV/atom
* crystal system: tetragonal
* E_form: 0.624 eV per atom
* final energy: -9.02 eV/atom

a b c (Å): 4.399 4.614 4.614
angles (deg): 90.00 90.00 90.00
Element x y z (fractional)
P (0.000, 0.000, 0.500)
P (0.000, 0.500, 0.000)
Co (0.500, 0.000, 0.000)
Al (0.000, 0.000, 0.000)
Li (0.500, 0.500, 0.500)

***

Record 6
ScCoOs2 at its PBEsol-relaxed geometry, computed with meta-GGA SCAN.

Results
* Fermi-level density of states: 0.877 states/eV/atom
* crystal system: cubic
* E_form: 0.173 eV per atom
* final energy: -43.65 eV/atom
* offset from the most stable computed form: 0.143 eV per atom

a b c (Å): 4.304 4.304 4.304
angles (deg): 60.00 60.00 60.00
Element x y z (fractional)
Co (0.000, 0.000, 0.000)
Os (0.250, 0.250, 0.250)
Os (0.750, 0.750, 0.750)
Sc (0.500, 0.500, 0.500)

***

Record 7
KBiOs3 at its PBEsol-relaxed geometry, computed with meta-GGA SCAN.

Results
* Fermi-level density of states: 1.012 states/eV/atom
* crystal system: cubic
* E_form: 3.882 eV per atom
* final energy: -56.63 eV/atom

a b c (Å): 4.626 4.626 4.626
angles (deg): 90.00 90.00 90.00
Element x y z (fractional)
K (0.000, 0.000, 0.000)
Os (0.000, 0.500, 0.000)
Os (0.000, 0.000, 0.500)
Os (0.500, 0.000, 0.000)
Bi (0.500, 0.500, 0.500)

***

Record 8
K2TeSe at its PBEsol-relaxed geometry, computed with meta-GGA SCAN.

Results
* E_form (uncorrected): -682 meV/atom
* Fermi-level density of states: 0.783 states/eV/atom
* crystal system: tetragonal
* final energy: -19.18 eV/atom
* offset from the most stable computed form: 0.080 eV per atom

a b c (Å): 4.753 4.753 6.394
angles (deg): 111.82 111.82 90.00
Element x y z (fractional)
K (0.000, 0.000, 0.000)
K (0.750, 0.250, 0.500)
Se (0.500, 0.500, 0.000)
Te (0.250, 0.750, 0.500)

***

Please write out number 1 again, unchanged.
ScPtAu2 at its PBEsol-relaxed geometry, computed with meta-GGA SCAN.

Results
* Fermi-level density of states: 0.341 states/eV/atom
* crystal system: tetragonal
* E_form: -0.876 eV per atom
* final energy: -56.56 eV/atom

a b c (Å): 3.938 3.938 5.112
angles (deg): 112.65 112.65 90.00
Element x y z (fractional)
Sc (0.500, 0.500, 0.000)
Au (0.750, 0.250, 0.500)
Au (0.250, 0.750, 0.500)
Pt (0.000, 0.000, 0.000)